A relaxed YTaCl2 crystal. Source: the Alexandria database, functional GGA-PBEsol.

Results
As for the raw formation energy: -0.135 eV/atom. Its space group is P4/mmm. The value obtained for the polymorph energy (0 for the lowest one) is 667 meV per atom. The calculation puts the total energy at -5.9827 eV/atom. For the volume, the calculation gives 17.5 Å³ per atom.

Lattice parameters (Å, degrees): 3.170 4.698 4.698 90.00 90.00 90.00
Positions (direct):
Y (0.500, 0.000, 0.000)
Cl (0.000, 0.000, 0.500)
Cl (0.000, 0.500, 0.000)
Ta (0.500, 0.500, 0.500)